VASP calculation (SCAN) on a crystal of LaTa2Be relaxed with PBEsol.

The calculation puts the energy at -44.75 eV per atom. The energy of formation comes out at 0.403 eV per atom.

The space group is C2/m (No. 12) and the conventional cell measures 10.2131, 2.9025 and 5.1275 Å, with angles of 90.00, 104.03 and 90.00 degrees. The inequivalent atoms are La at (0.0000, 0.0000, 0.0000), Ta at (0.2114, 0.0000, 0.7081) and Be at (0.0000, 0.5000, 0.5000).